(1)
Material: Sr3GaPd3
Method: DFT, PBE
State: relaxed

Properties
calculated formation energy = -4.492 eV/f.u.

Structure (extended XYZ):
```
14
Lattice="5.731 -2.233 0.000 5.731 2.233 0.000 -5.451 0.000 14.247" Properties=species:S:1:pos:R:3 pbc="T T T"
Sr -1.800 0.000 5.457
Sr -3.872 0.000 13.153
Sr 1.563 0.000 3.287
Sr 4.447 0.000 10.960
Sr 9.883 0.000 1.094
Sr 7.811 0.000 8.790
Ga -0.258 0.000 8.441
Ga 6.269 0.000 5.806
Pd 1.617 0.000 6.542
Pd -0.550 0.000 13.123
Pd 0.936 0.000 10.752
Pd 5.074 0.000 3.496
Pd 6.561 0.000 1.124
Pd 4.393 0.000 7.705
```

(2)
Material: TeMo2W
Method: DFT, PBE
State: relaxed

Properties
formation energy without anion corrections = 0.62 eV per atom

Structure (extended XYZ):
```
4
Lattice="1.616 -2.395 0.000 1.616 2.395 0.000 0.000 0.000 9.386" Properties=species:S:1:pos:R:3 pbc="T T T"
Te 0.000 0.000 0.000
Mo 0.000 0.000 4.736
Mo 1.616 0.000 6.840
W 1.616 0.000 2.641
```

(3)
Material: TaCd4Ru
Method: DFT, PBE
State: relaxed

Properties
calculated formation energy = 3.514 eV/f.u.

Structure (extended XYZ):
```
6
Lattice="0.000 3.848 3.848 3.848 0.000 3.848 3.848 3.848 0.000" Properties=species:S:1:pos:R:3 pbc="T T T"
Ta 0.000 0.000 0.000
Cd 4.809 2.887 2.887
Cd 2.887 4.809 2.887
Cd 2.887 2.887 4.809
Cd 4.809 4.809 4.809
Ru 1.924 1.924 1.924
```